(1)
A plane-wave DFT calculation with PBE was carried out for crystalline Ta2FeTe at its relaxed geometry.

Computed properties:
total moment	1.965	μB/cell
E_form (uncorrected)	306	meV per atom
calculated volume	68.9	Å³ per cell
DFT total energy	-0.6263	Ry per atom

Cell: 3.9706 3.9706 4.3683 Å, 90.00 90.00 90.00°
Closest atoms and distances in Å follow each position.
Fractional coordinates of all 4 atoms:
1 Ta 0.0000 0.5000 0.0000  4 Ta 2.81, 4 Fe 2.95, 4 Te 2.95
2 Ta 0.5000 0.0000 0.0000  4 Ta 2.81, 4 Fe 2.95, 4 Te 2.95
3 Fe 0.0000 0.0000 0.5000  4 Te 2.81, 8 Ta 2.95
4 Te 0.5000 0.5000 0.5000  4 Fe 2.81, 8 Ta 2.95


(2)
A plane-wave DFT calculation with PBE was carried out for crystalline Ag2H2Pd at its relaxed geometry.

Computed properties:
total moment	0.000	μB/cell
polymorph energy (0 for the lowest one)	283	meV/atom
calculated volume	58.3	Å³ per cell
DFT total energy	-0.2348	Ry per atom

Cell: 5.5934 5.5934 5.5934 Å, 144.63 144.63 50.88°
Closest atoms and distances in Å follow each position.
Fractional coordinates of all 5 atoms:
1 Ag 0.1524 0.1524 0.0000  4 H 1.96
2 Ag 0.8476 0.8476 0.0000  4 H 1.96
3 H 0.2500 0.7500 0.5000  4 Ag 1.96
4 H 0.7500 0.2500 0.5000  4 Ag 1.96
5 Pd 0.5000 0.5000 0.0000  8 Ag 2.85, 8 H 3.04